#one
Density functional theory data (PBE-GGA) for a relaxed structure of Zn2SiPb.

Properties
As for the volume: 20.32 Å³/atom. The density comes out at 7.48 g cm⁻³. As for the spin magnetization: 0.000 μB/f.u.

Unit cell a=3.525 b=3.173 c=7.431 alpha=78.02 beta=90.00 gamma=90.00
Atoms (fractional coordinates):
Zn1 0.000 0.131 0.936
Zn2 0.000 0.369 0.564
Pb1 0.500 0.250 0.250
Si1 0.500 0.750 0.750

***

#two
Density functional theory data (PBE-GGA) for a relaxed structure of Zn2SiPb.

Properties
As for the volume: 20.56 Å³/atom. The density comes out at 7.39 g cm⁻³. As for the spin magnetization: 0.000 μB/f.u.

Unit cell a=3.616 b=5.579 c=5.639 alpha=46.30 beta=90.00 gamma=90.00
Atoms (fractional coordinates):
Pb1 0.500 0.500 0.500
Zn1 0.500 0.500 0.000
Zn2 0.000 0.000 0.000
Si1 0.000 0.000 0.500

***

Most stable = #one

***

#one
Density functional theory data (PBE-GGA) for a relaxed structure of Zn2SiPb.

Properties
As for the volume: 20.28 Å³/atom. The density comes out at 7.50 g cm⁻³. As for the spin magnetization: 0.000 μB/f.u.

Unit cell a=4.859 b=4.859 c=4.859 alpha=60.00 beta=60.00 gamma=60.00
Atoms (fractional coordinates):
Si1 0.000 0.000 0.000
Zn1 0.250 0.250 0.250
Zn2 0.750 0.750 0.750
Pb1 0.500 0.500 0.500

***

#two
Density functional theory data (PBE-GGA) for a relaxed structure of Zn2SiPb.

Properties
As for the volume: 20.55 Å³/atom. The density comes out at 7.40 g cm⁻³. As for the spin magnetization: 0.000 μB/f.u.

Unit cell a=5.225 b=5.225 c=5.225 alpha=136.91 beta=119.99 gamma=76.69
Atoms (fractional coordinates):
Pb1 0.250 0.750 0.500
Zn1 0.534 0.534 0.000
Zn2 0.966 0.966 0.000
Si1 0.750 0.250 0.500

***

Most stable = #two

***

#one
Density functional theory data (PBE-GGA) for a relaxed structure of Zn2SiPb.

Properties
As for the volume: 20.95 Å³/atom. The density comes out at 7.26 g cm⁻³. As for the spin magnetization: 0.000 μB/f.u.

Unit cell a=4.912 b=4.912 c=4.912 alpha=60.00 beta=60.00 gamma=60.00
Atoms (fractional coordinates):
Zn1 0.250 0.250 0.250
Zn2 0.000 0.000 0.000
Si1 0.750 0.750 0.750
Pb1 0.500 0.500 0.500

***

#two
Density functional theory data (PBE-GGA) for a relaxed structure of Zn2SiPb.

Properties
As for the volume: 21.19 Å³/atom. The density comes out at 7.17 g cm⁻³. As for the spin magnetization: 0.000 μB/f.u.

Unit cell a=7.610 b=7.610 c=6.126 alpha=51.60 beta=51.60 gamma=90.00
Atoms (fractional coordinates):
Zn1 0.183 0.625 0.250
Zn2 0.375 0.433 0.750
Zn3 0.567 0.125 0.250
Zn4 0.875 0.817 0.750
Si1 0.250 0.750 0.500
Si2 0.500 0.500 0.000
Pb1 0.750 0.250 0.500
Pb2 0.000 0.000 0.000

***

#three
Density functional theory data (PBE-GGA) for a relaxed structure of Zn2SiPb.

Properties
As for the volume: 20.88 Å³/atom. The density comes out at 7.28 g cm⁻³. As for the spin magnetization: 0.000 μB/f.u.

Unit cell a=8.133 b=8.133 c=8.133 alpha=24.85 beta=24.85 gamma=24.85
Atoms (fractional coordinates):
Zn1 0.264 0.264 0.264
Zn2 0.002 0.002 0.002
Si1 0.736 0.736 0.736
Pb1 0.498 0.498 0.498

***

#four
Density functional theory data (PBE-GGA) for a relaxed structure of Zn2SiPb.

Properties
As for the volume: 20.31 Å³/atom. The density comes out at 7.48 g cm⁻³. As for the spin magnetization: 0.000 μB/f.u.

Unit cell a=5.264 b=5.264 c=5.264 alpha=131.01 beta=131.01 gamma=71.80
Atoms (fractional coordinates):
Zn1 0.000 0.000 0.000
Zn2 0.250 0.750 0.500
Si1 0.750 0.250 0.500
Pb1 0.500 0.500 0.000

***

Most stable = #two

***

#one
Density functional theory data (PBE-GGA) for a relaxed structure of ZnSi2Pb.

Properties
As for the volume: 24.04 Å³/atom. The density comes out at 5.68 g cm⁻³. As for the spin magnetization: 0.000 μB/f.u.

Unit cell a=4.132 b=3.669 c=6.517 alpha=103.27 beta=90.00 gamma=90.00
Atoms (fractional coordinates):
Zn1 0.500 0.250 0.250
Si1 0.000 0.925 0.118
Si2 0.000 0.575 0.382
Pb1 0.500 0.750 0.750

***

#two
Density functional theory data (PBE-GGA) for a relaxed structure of ZnSi2Pb.

Properties
As for the volume: 21.13 Å³/atom. The density comes out at 6.46 g cm⁻³. As for the spin magnetization: 0.000 μB/f.u.

Unit cell a=7.145 b=7.145 c=7.145 alpha=30.74 beta=30.74 gamma=30.74
Atoms (fractional coordinates):
Si1 0.259 0.259 0.259
Si2 0.975 0.975 0.975
Pb1 0.748 0.748 0.748
Zn1 0.518 0.518 0.518

***

Most stable = #two

***

#one
Density functional theory data (PBE-GGA) for a relaxed structure of ZnSi2Pb.

Properties
As for the volume: 20.07 Å³/atom. The density comes out at 6.80 g cm⁻³. As for the spin magnetization: 0.000 μB/f.u.

Unit cell a=5.769 b=5.769 c=5.769 alpha=148.27 beta=126.56 gamma=63.50
Atoms (fractional coordinates):
Si1 0.967 0.967 0.000
Si2 0.533 0.533 0.000
Pb1 0.250 0.750 0.500
Zn1 0.750 0.250 0.500

***

#two
Density functional theory data (PBE-GGA) for a relaxed structure of ZnSi2Pb.

Properties
As for the volume: 20.59 Å³/atom. The density comes out at 6.63 g cm⁻³. As for the spin magnetization: 0.000 μB/f.u.

Unit cell a=4.884 b=4.884 c=4.884 alpha=60.00 beta=60.00 gamma=60.00
Atoms (fractional coordinates):
Zn1 0.000 0.000 0.000
Si1 0.250 0.250 0.250
Si2 0.750 0.750 0.750
Pb1 0.500 0.500 0.500

***

Most stable = #one

***

#one
Density functional theory data (PBE-GGA) for a relaxed structure of ZnSi2Pb.

Properties
As for the volume: 20.78 Å³/atom. The density comes out at 6.57 g cm⁻³. As for the spin magnetization: 0.000 μB/f.u.

Unit cell a=8.363 b=8.363 c=8.363 alpha=23.72 beta=23.72 gamma=23.72
Atoms (fractional coordinates):
Si1 0.516 0.516 0.516
Si2 0.984 0.984 0.984
Pb1 0.750 0.750 0.750
Zn1 0.250 0.250 0.250

***

#two
Density functional theory data (PBE-GGA) for a relaxed structure of ZnSi2Pb.

Properties
As for the volume: 21.21 Å³/atom. The density comes out at 6.43 g cm⁻³. As for the spin magnetization: 0.000 μB/f.u.

Unit cell a=5.350 b=5.350 c=5.350 alpha=140.22 beta=117.40 gamma=76.78
Atoms (fractional coordinates):
Si1 0.762 0.262 0.500
Si2 0.947 0.947 0.000
Pb1 0.250 0.750 0.500
Zn1 0.541 0.541 0.000

***

Most stable = #two

***

#one
Density functional theory data (PBE-GGA) for a relaxed structure of ZnSi2Pb.

Properties
As for the volume: 20.08 Å³/atom. The density comes out at 6.80 g cm⁻³. As for the spin magnetization: 0.000 μB/f.u.

Unit cell a=3.384 b=3.397 c=6.989 alpha=90.00 beta=90.00 gamma=90.00
Atoms (fractional coordinates):
Si1 0.000 0.000 0.095
Si2 0.500 0.500 0.215
Pb1 0.500 0.500 0.735
Zn1 0.000 0.000 0.454

***

#two
Density functional theory data (PBE-GGA) for a relaxed structure of ZnSi2Pb.

Properties
As for the volume: 21.48 Å³/atom. The density comes out at 6.36 g cm⁻³. As for the spin magnetization: 0.000 μB/f.u.

Unit cell a=4.284 b=4.284 c=9.840 alpha=77.43 beta=77.43 gamma=90.00
Atoms (fractional coordinates):
Zn1 0.250 0.750 0.500
Zn2 0.500 0.500 0.000
Pb1 0.750 0.250 0.500
Pb2 0.000 0.000 0.000
Si1 0.225 0.625 0.250
Si2 0.875 0.775 0.750
Si3 0.525 0.125 0.250
Si4 0.375 0.475 0.750

***

Most stable = #one

***

#one
Density functional theory data (PBE-GGA) for a relaxed structure of ZnSi2Pb.

Properties
As for the volume: 19.98 Å³/atom. The density comes out at 6.83 g cm⁻³. As for the spin magnetization: 0.000 μB/f.u.

Unit cell a=4.835 b=4.835 c=4.835 alpha=60.00 beta=60.00 gamma=60.00
Atoms (fractional coordinates):
Si1 0.000 0.000 0.000
Si2 0.250 0.250 0.250
Zn1 0.750 0.750 0.750
Pb1 0.500 0.500 0.500

***

#two
Density functional theory data (PBE-GGA) for a relaxed structure of ZnSi2Pb.

Properties
As for the volume: 20.21 Å³/atom. The density comes out at 6.75 g cm⁻³. As for the spin magnetization: 0.000 μB/f.u.

Unit cell a=3.362 b=3.602 c=6.674 alpha=90.00 beta=90.00 gamma=90.00
Atoms (fractional coordinates):
Si1 0.000 0.000 0.070
Si2 0.000 0.000 0.430
Zn1 0.500 0.500 0.250
Pb1 0.500 0.500 0.750

***

#three
Density functional theory data (PBE-GGA) for a relaxed structure of ZnSi2Pb.

Properties
As for the volume: 20.73 Å³/atom. The density comes out at 6.58 g cm⁻³. As for the spin magnetization: 0.000 μB/f.u.

Unit cell a=3.525 b=3.524 c=6.676 alpha=89.81 beta=90.00 gamma=90.00
Atoms (fractional coordinates):
Si1 0.500 0.375 0.149
Si2 0.000 0.875 0.148
Zn1 0.000 0.375 0.456
Pb1 0.500 0.875 0.746

***

Most stable = #three

***

#one
Density functional theory data (PBE-GGA) for a relaxed structure of ZnSi2Pb.

Properties
As for the volume: 20.45 Å³/atom. The density comes out at 6.67 g cm⁻³. As for the spin magnetization: 0.000 μB/f.u.

Unit cell a=5.559 b=5.559 c=3.036 alpha=90.00 beta=90.00 gamma=119.34
Atoms (fractional coordinates):
Pb1 0.000 0.500 0.500
Zn1 0.500 0.000 0.500
Si1 0.000 0.000 0.000
Si2 0.500 0.500 0.000

***

#two
Density functional theory data (PBE-GGA) for a relaxed structure of ZnSi2Pb.

Properties
As for the volume: 20.28 Å³/atom. The density comes out at 6.73 g cm⁻³. As for the spin magnetization: 0.000 μB/f.u.

Unit cell a=5.884 b=5.884 c=5.884 alpha=140.68 beta=140.68 gamma=56.82
Atoms (fractional coordinates):
Si1 0.500 0.500 0.000
Si2 0.000 0.000 0.000
Zn1 0.250 0.750 0.500
Pb1 0.750 0.250 0.500

***

Most stable = #two

***

#one
Density functional theory data (PBE-GGA) for a relaxed structure of ZnSiPb.

Properties
As for the volume: 22.74 Å³/atom. The density comes out at 7.32 g cm⁻³. As for the spin magnetization: 0.000 μB/f.u.

Unit cell a=4.212 b=4.212 c=4.439 alpha=90.00 beta=90.00 gamma=120.00
Atoms (fractional coordinates):
Pb1 0.000 0.000 0.000
Si1 0.667 0.333 0.500
Zn1 0.333 0.667 0.500

***

#two
Density functional theory data (PBE-GGA) for a relaxed structure of ZnSiPb.

Properties
As for the volume: 21.61 Å³/atom. The density comes out at 7.70 g cm⁻³. As for the spin magnetization: 0.000 μB/f.u.

Unit cell a=5.969 b=5.982 c=3.447 alpha=73.01 beta=73.46 gamma=33.53
Atoms (fractional coordinates):
Zn1 0.705 0.705 0.295
Si1 0.295 0.295 0.705
Pb1 0.000 0.000 0.000

***

Most stable = #one

***

#one
Density functional theory data (PBE-GGA) for a relaxed structure of ZrSiPb.

Properties
As for the volume: 23.33 Å³/atom. The density comes out at 7.75 g cm⁻³. As for the spin magnetization: 0.000 μB/f.u.

Unit cell a=7.629 b=7.629 c=7.629 alpha=156.60 beta=156.60 gamma=33.34
Atoms (fractional coordinates):
Zr1 0.685 0.685 0.000
Pb1 0.006 0.006 0.000
Si1 0.309 0.309 0.000

***

#two
Density functional theory data (PBE-GGA) for a relaxed structure of ZrSiPb.

Properties
As for the volume: 22.37 Å³/atom. The density comes out at 8.08 g cm⁻³. As for the spin magnetization: 0.000 μB/f.u.

Unit cell a=3.280 b=3.280 c=7.205 alpha=90.00 beta=90.00 gamma=120.00
Atoms (fractional coordinates):
Si1 0.667 0.333 0.353
Pb1 0.000 0.000 0.006
Zr1 0.333 0.667 0.642

***

Most stable = #one

***

#one
Density functional theory data (PBE-GGA) for a relaxed structure of ZrSiPb.

Properties
As for the volume: 24.59 Å³/atom. The density comes out at 7.35 g cm⁻³. As for the spin magnetization: 0.000 μB/f.u.

Unit cell a=4.708 b=4.708 c=4.708 alpha=60.00 beta=60.00 gamma=60.00
Atoms (fractional coordinates):
Zr1 0.000 0.000 0.000
Si1 0.250 0.250 0.250
Pb1 0.500 0.500 0.500

***

#two
Density functional theory data (PBE-GGA) for a relaxed structure of ZrSiPb.

Properties
As for the volume: 25.71 Å³/atom. The density comes out at 7.03 g cm⁻³. As for the spin magnetization: 0.000 μB/f.u.

Unit cell a=4.778 b=4.778 c=4.778 alpha=60.00 beta=60.00 gamma=60.00
Atoms (fractional coordinates):
Zr1 0.250 0.250 0.250
Si1 0.500 0.500 0.500
Pb1 0.000 0.000 0.000

***

Most stable = #one

***

#one
Density functional theory data (PBE-GGA) for a relaxed structure of ZrSi3Pb.

Properties
As for the volume: 26.69 Å³/atom. The density comes out at 4.76 g cm⁻³. As for the spin magnetization: 0.000 μB/f.u.

Unit cell a=5.110 b=5.110 c=5.110 alpha=90.00 beta=90.00 gamma=90.00
Atoms (fractional coordinates):
Si1 0.000 0.000 0.500
Si2 0.500 0.000 0.000
Si3 0.000 0.500 0.000
Zr1 0.000 0.000 0.000
Pb1 0.500 0.500 0.500

***

#two
Density functional theory data (PBE-GGA) for a relaxed structure of ZrSi3Pb.

Properties
As for the volume: 26.62 Å³/atom. The density comes out at 4.77 g cm⁻³. As for the spin magnetization: 0.000 μB/f.u.

Unit cell a=5.106 b=5.106 c=5.106 alpha=90.00 beta=90.00 gamma=90.00
Atoms (fractional coordinates):
Si1 0.000 0.500 0.000
Si2 0.500 0.000 0.000
Si3 0.000 0.000 0.500
Pb1 0.000 0.000 0.000
Zr1 0.500 0.500 0.500

***

Most stable = #one